(1)
This record from OQMD via LeMat-Bulk describes NaLaCdS3 after structural relaxation. The functional is PBE.

Cell lengths 14.2939, 4.1947, 11.5409 Å; angles 90.00, 90.00, 90.00 degrees
With the nearest neighbours (Å) after each atom.
Sites, in units of the cell vectors:
Na  0.2076  0.2500  0.1909  5 S 2.89-2.98
Na  0.2924  0.7500  0.6909  5 S 2.89-2.98
Na  0.7076  0.2500  0.3091  5 S 2.89-2.98
Na  0.7924  0.7500  0.8091  5 S 2.89-2.98
La  0.0465  0.7500  0.8514  6 S 2.82-3.04
La  0.4535  0.2500  0.3514  6 S 2.82-3.04
La  0.5465  0.7500  0.6486  6 S 2.82-3.04
La  0.9535  0.2500  0.1486  6 S 2.82-3.04
Cd  0.0406  0.2500  0.5977  4 S 2.53-2.61
Cd  0.4594  0.7500  0.0977  4 S 2.53-2.61
Cd  0.5406  0.2500  0.9023  4 S 2.53-2.61
Cd  0.9594  0.7500  0.4023  4 S 2.53-2.61
S  0.0643  0.2500  0.3733  3 Cd 2.60-2.61
S  0.0840  0.7500  0.0910  3 La 2.82-2.88, 2 Na 2.98
S  0.1634  0.2500  0.7552  1 Cd 2.53
S  0.3366  0.7500  0.2552  1 Cd 2.53
S  0.4160  0.2500  0.5910  3 La 2.82-2.88, 2 Na 2.98
S  0.4357  0.7500  0.8733  3 Cd 2.60-2.61
S  0.5643  0.2500  0.1267  3 Cd 2.60-2.61
S  0.5840  0.7500  0.4090  3 La 2.82-2.88, 2 Na 2.98
S  0.6634  0.2500  0.7448  1 Cd 2.53
S  0.8366  0.7500  0.2448  1 Cd 2.53
S  0.9160  0.2500  0.9090  3 La 2.82-2.88, 2 Na 2.98
S  0.9357  0.7500  0.6267  3 Cd 2.60-2.61

## Properties
As for the energy above the lowest structure with this stoichiometry: 0.012 eV per atom. As for the crystal system: orthorhombic. The calculated density comes out at 3.56 g/cm3.

***

(2)
This record from OQMD via LeMat-Bulk describes YErNCl3 after structural relaxation. The functional is PBE.

Cell lengths 8.1845, 8.1845, 10.5201 Å; angles 119.46, 119.46, 27.02 degrees
With the nearest neighbours (Å) after each atom.
Sites, in units of the cell vectors:
Y  0.1363  0.1363  0.2929  2 N 2.29
Y  0.8637  0.8637  0.7071  2 N 2.29
Er  0.4146  0.4146  0.0464  2 N 2.21-2.22
Er  0.5854  0.5854  0.9536  2 N 2.21-2.22
N  0.4248  0.4248  0.8439  2 Er 2.21-2.22, 2 Y 2.29
N  0.5752  0.5752  0.1561  2 Er 2.21-2.22, 2 Y 2.29
Cl  0.0512  0.0512  0.7484  2 Er 2.72, 1 Y 2.79
Cl  0.2217  0.2217  0.1109  2 Er 2.73, 1 Y 2.85
Cl  0.3360  0.3360  0.4843  3 Y 2.77-2.88
Cl  0.6640  0.6640  0.5157  3 Y 2.77-2.88
Cl  0.7783  0.7783  0.8891  2 Er 2.73, 1 Y 2.85
Cl  0.9488  0.9488  0.2516  2 Er 2.72, 1 Y 2.79

## Properties
As for the energy above the lowest structure with this stoichiometry: 0.000 eV per atom. As for the crystal system: monoclinic. The calculated density comes out at 4.53 g/cm3.

***

(3)
This record from OQMD via LeMat-Bulk describes ZnPt9 after structural relaxation. The functional is PBE.

Cell lengths 2.7973, 3.8952, 42.4574 Å; angles 90.00, 90.00, 90.00 degrees
With the nearest neighbours (Å) after each atom.
Sites, in units of the cell vectors:
Zn  0.2500  0.2500  0.1844  5 Pt 2.62-2.64, 2 Zn 2.80
Zn  0.7500  0.7500  0.8156  5 Pt 2.62-2.64, 2 Zn 2.80
Pt  0.2500  0.2500  0.2465  1 Zn 2.64, 11 Pt 2.79-2.89
Pt  0.2500  0.2500  0.3146  12 Pt 2.79-2.89
Pt  0.2500  0.2500  0.3822  12 Pt 2.79-2.87
Pt  0.2500  0.2500  0.4495  12 Pt 2.79-2.86
Pt  0.2500  0.2500  0.5168  12 Pt 2.79-2.86
Pt  0.2500  0.2500  0.5840  12 Pt 2.79-2.87
Pt  0.2500  0.2500  0.6516  12 Pt 2.79-2.89
Pt  0.2500  0.2500  0.7197  12 Pt 2.79-3.03
Pt  0.2500  0.2500  0.7910  4 Zn 2.62, 6 Pt 2.80-2.88
Pt  0.7500  0.7500  0.2090  4 Zn 2.62, 6 Pt 2.80-2.88
Pt  0.7500  0.7500  0.2803  12 Pt 2.79-3.03
Pt  0.7500  0.7500  0.3484  12 Pt 2.79-2.89
Pt  0.7500  0.7500  0.4160  12 Pt 2.79-2.87
Pt  0.7500  0.7500  0.4832  12 Pt 2.79-2.86
Pt  0.7500  0.7500  0.5505  12 Pt 2.79-2.86
Pt  0.7500  0.7500  0.6178  12 Pt 2.79-2.87
Pt  0.7500  0.7500  0.6854  12 Pt 2.79-2.89
Pt  0.7500  0.7500  0.7535  1 Zn 2.64, 11 Pt 2.79-2.89

## Properties
As for the formation energy: -25.3 meV/atom. As for the energy above the lowest structure with this stoichiometry: 0.000 eV per atom. As for the crystal system: orthorhombic. The calculated density comes out at 13.07 g/cm3.

***

(4)
This record from OQMD via LeMat-Bulk describes Li2Ta2Ga2IrPd after structural relaxation. The functional is PBE.

Cell lengths 4.3813, 4.3813, 6.1526 Å; angles 90.00, 90.00, 90.00 degrees
With the nearest neighbours (Å) after each atom.
Sites, in units of the cell vectors:
Li  0.0000  0.0000  0.0000  4 Ta 2.65, 4 Ga 2.71
Li  0.5000  0.5000  0.5000  4 Ga 2.65, 4 Ta 2.70
Ta  0.0000  0.5000  0.2428  4 Li 2.65-2.70, 2 Ir 2.65, 2 Pd 2.70
Ta  0.5000  0.0000  0.7572  4 Li 2.65-2.70, 2 Ir 2.65, 2 Pd 2.70
Ga  0.0000  0.5000  0.7414  4 Li 2.65-2.71, 2 Pd 2.65, 2 Ir 2.71
Ga  0.5000  0.0000  0.2586  4 Li 2.65-2.71, 2 Pd 2.65, 2 Ir 2.71
Ir  0.5000  0.5000  0.0000  4 Ta 2.65, 4 Ga 2.71
Pd  0.0000  0.0000  0.5000  4 Ga 2.65, 4 Ta 2.70

## Properties
As for the crystal system: tetragonal. The total energy is -50.4 eV per cell. The calculated density comes out at 11.44 g/cm3.

***

The lowest calculated density belongs to which entry?
NaLaCdS3